Below is an optimized crystal structure of LuNbSn2, with properties calculated at the PBE level.

a b c (Å): 3.188 3.188 11.294
angles (deg): 81.89 81.89 60.00
Atoms (fractional coordinates):
Nb 0.000 0.000 0.000
Sn 0.914 0.914 0.257
Lu 0.500 0.500 0.500
Sn 0.086 0.086 0.743

Output
Energy relative to the lowest polymorph listed for this composition, eV/atom: 0.466
E_form, eV/atom: 0.2665
Total magnetic moment, μB per formula unit: 0.0